(1)
KGaP2 (PBE, optimized geometry); total moment = 0.00 μB per formula unit; energy = -3.78 eV per atom; DFT formation energy = -42 meV per atom
1.0
-2.493 2.493 8.392
2.493 -2.493 8.392
2.493 2.493 -8.392
K Ga P
2 2 4
direct
0.375 0.625 0.750
0.625 0.375 0.250
0.125 0.875 0.250
0.875 0.125 0.750
0.000 0.000 0.000
0.000 0.000 0.500
0.000 0.500 0.000
0.500 0.000 0.500

---

(2)
K2GaP (PBE, optimized geometry); total moment = 0.00 μB per formula unit; E above lowest polymorph = 0 meV/atom; energy = -2.56 eV per atom; DFT formation energy = 95 meV per atom
1.0
0.000 3.876 3.876
3.876 0.000 3.876
3.876 3.876 0.000
K Ga P
2 1 1
direct
0.250 0.250 0.250
0.750 0.750 0.750
0.000 0.000 0.000
0.500 0.500 0.500

---

(3)
KGaP (PBE, optimized geometry); total moment = 0.00 μB per formula unit; E above lowest polymorph = 57 meV/atom; energy = -3.43 eV per atom; DFT formation energy = -256 meV per atom
1.0
3.998 0.000 0.000
-1.999 3.462 0.000
0.000 0.000 5.683
K Ga P
1 1 1
direct
0.000 0.000 0.000
0.667 0.333 0.554
0.333 0.667 0.421

---

(4)
KGa2P (PBE, optimized geometry); total moment = 0.00 μB per formula unit; energy = -3.19 eV per atom; DFT formation energy = -53 meV per atom
1.0
-4.031 4.031 3.080
4.031 -4.031 3.080
4.031 4.031 -3.080
K Ga P
2 4 2
direct
0.000 0.000 0.000
0.750 0.250 0.500
0.204 0.625 0.079
0.375 0.454 0.579
0.546 0.125 0.921
0.875 0.796 0.421
0.250 0.750 0.500
0.500 0.500 0.000